Record 1
4
Lattice="-1.983 -0.454 4.719 -3.987 -3.144 -0.794 4.886 -0.748 -1.406" Properties=species:S:1:pos:R:3 comment="SrCdPt2 | Alexandria | PBE-GGA | relaxed" dos_ef_per_ev_atom=0.25 total_energy_ev_per_atom=-4.075 e_form_ev_per_atom=-0.405 magmom_total_mub_per_cell=0.0 pbc="T T T"
Cd -0.041 -1.501 2.638
Pt -2.986 -1.799 1.963
Sr -1.043 -2.845 -0.119
Pt -5.969 -3.597 3.925

Record 2
11
Lattice="-1.335 1.714 6.189 4.696 -4.579 -0.036 2.053 5.263 -3.331" Properties=species:S:1:pos:R:3 comment="Na3As4Rh4 | Alexandria | PBE-GGA | relaxed" dos_ef_per_ev_atom=0.24 total_energy_ev_per_atom=-5.242 e_form_ev_per_atom=-0.518 magmom_total_mub_per_cell=0.0 pbc="T T T"
Rh 1.282 -1.250 -0.010
As -0.844 1.083 3.910
As 1.993 0.883 1.039
Na 0.359 3.489 1.429
Rh 0.560 1.437 -0.909
Na 1.680 -1.433 3.076
As 1.297 3.325 -2.105
As 2.967 -2.893 -0.023
Rh 3.936 1.744 2.051
Na 3.374 0.342 -1.684
Rh -0.364 0.468 1.689